(1)
This record from OQMD via LeMat-Bulk describes a relaxed HoTm2Mg4In2 crystal. The functional is PBE.

E_tot: -3.055 eV per atom
theoretical density: 6.1 g/cm3

Cell lengths 4.634, 7.523, 7.523 Å; angles 120.17, 90.00, 90.00 degrees
Element x y z (fractional)
Mg1 0.500 0.242 0.000
Mg2 0.500 0.000 0.242
Mg3 0.500 0.757 0.757
Mg4 0.000 0.998 0.998
Tm1 0.000 0.001 0.562
Tm2 0.000 0.562 0.001
In1 0.500 0.668 0.333
In2 0.500 0.333 0.668
Ho1 0.000 0.438 0.438

***

(2)
This record from OQMD via LeMat-Bulk describes a relaxed RbNdAu3O4 crystal. The functional is PBE.

E_tot: -4.462 eV per atom
theoretical density: 7.5 g/cm3

Cell lengths 5.800, 5.800, 5.800 Å; angles 90.00, 90.00, 90.00 degrees
Element x y z (fractional)
Au1 0.500 0.000 0.000
Au2 0.000 0.500 0.000
Au3 0.000 0.000 0.500
O1 0.776 0.224 0.224
O2 0.224 0.776 0.224
O3 0.776 0.776 0.776
O4 0.224 0.224 0.776
Rb1 0.500 0.500 0.500
Nd1 0.000 0.000 0.000

***

(3)
This record from OQMD via LeMat-Bulk describes a relaxed HoErH2Cl4 crystal. The functional is PBE.

E_tot: -4.674 eV per atom
theoretical density: 5.0 g/cm3

Cell lengths 3.704, 3.704, 13.283 Å; angles 90.00, 90.00, 120.00 degrees
Element x y z (fractional)
H1 0.333 0.667 0.000
H2 0.667 0.333 0.500
Cl1 0.333 0.667 0.632
Cl2 0.667 0.333 0.869
Cl3 0.667 0.333 0.131
Cl4 0.333 0.667 0.368
Er1 0.000 0.000 0.000
Ho1 0.000 0.000 0.500

***

(4)
This record from OQMD via LeMat-Bulk describes a relaxed Er2Tm2InGe4Pd2 crystal. The functional is PBE.

E_tot: -5.375 eV per atom
theoretical density: 9.5 g/cm3

Cell lengths 8.148, 8.148, 7.095 Å; angles 107.07, 107.07, 30.07 degrees
Element x y z (fractional)
Er1 0.587 0.587 0.382
Er2 0.413 0.413 0.618
Pd1 0.219 0.219 0.634
Pd2 0.781 0.781 0.366
Ge1 0.190 0.190 0.235
Ge2 0.810 0.810 0.765
Ge3 0.062 0.062 0.662
Ge4 0.938 0.938 0.338
Tm1 0.343 0.343 0.077
Tm2 0.657 0.657 0.923
In1 0.000 0.000 0.000

***

(5)
This record from OQMD via LeMat-Bulk describes a relaxed InCo124 crystal. The functional is PBE.

E_tot: -7.045 eV per atom
theoretical density: 9.2 g/cm3

Cell lengths 12.391, 12.391, 12.391 Å; angles 60.00, 60.00, 60.00 degrees
Element x y z (fractional)
Co1 0.600 0.600 0.200
Co2 0.201 0.201 0.598
Co3 0.000 0.401 0.599
Co4 0.201 0.598 0.000
Co5 0.600 0.600 0.400
Co6 0.000 0.000 0.209
Co7 0.400 0.400 0.000
Co8 0.600 0.600 0.600
Co9 0.401 0.000 0.000
Co10 0.400 0.800 0.200
Co11 0.800 0.200 0.400
Co12 0.600 0.400 0.400
Co13 0.200 0.000 0.400
Co14 0.800 0.400 0.200
Co15 0.200 0.200 0.400
Co16 0.000 0.799 0.402
Co17 0.400 0.400 0.400
Co18 0.000 0.000 0.599
Co19 0.402 0.000 0.799
Co20 0.200 0.400 0.600
Co21 0.800 0.000 0.600
Co22 0.400 0.000 0.200
Co23 0.799 0.402 0.799
Co24 0.600 0.800 0.400
Co25 0.400 0.400 0.800
Co26 0.209 0.791 0.000
Co27 0.209 0.000 0.791
Co28 0.599 0.000 0.401
Co29 0.000 0.600 0.600
Co30 0.000 0.600 0.800
Co31 0.200 0.800 0.400
Co32 0.402 0.799 0.799
Co33 0.000 0.200 0.400
Co34 0.000 0.000 0.401
Co35 0.799 0.799 0.000
Co36 0.000 0.401 0.000
Co37 0.598 0.201 0.000
Co38 0.000 0.201 0.598
Co39 0.600 0.400 0.800
Co40 0.201 0.201 0.000
Co41 0.209 0.000 0.000
Co42 0.600 0.200 0.400
Co43 0.400 0.000 0.400
Co44 0.801 0.199 0.801
Co45 0.800 0.800 0.600
Co46 0.400 0.400 0.600
Co47 0.400 0.800 0.600
Co48 0.199 0.801 0.199
Co49 0.598 0.201 0.201
Co50 0.791 0.000 0.209
Co51 0.200 0.600 0.800
Co52 0.400 0.600 0.600
Co53 0.200 0.400 0.200
Co54 0.791 0.209 0.000
Co55 0.400 0.200 0.200
Co56 0.201 0.000 0.201
Co57 0.799 0.000 0.799
Co58 0.199 0.801 0.801
Co59 0.200 0.800 0.600
Co60 0.800 0.800 0.800
Co61 0.600 0.800 0.000
Co62 0.799 0.402 0.000
Co63 0.800 0.400 0.600
Co64 0.400 0.600 0.400
Co65 0.400 0.600 0.200
Co66 0.000 0.400 0.400
Co67 0.401 0.599 0.000
Co68 0.200 0.400 0.400
Co69 0.000 0.209 0.000
Co70 0.000 0.599 0.000
Co71 0.600 0.800 0.800
Co72 0.402 0.799 0.000
Co73 0.000 0.402 0.799
Co74 0.400 0.600 0.800
Co75 0.598 0.000 0.201
Co76 0.400 0.200 0.400
Co77 0.600 0.800 0.600
Co78 0.800 0.600 0.200
Co79 0.200 0.600 0.600
Co80 0.000 0.800 0.600
Co81 0.000 0.000 0.791
Co82 0.000 0.791 0.000
Co83 0.600 0.000 0.800
Co84 0.801 0.801 0.199
Co85 0.799 0.000 0.402
Co86 0.600 0.200 0.800
Co87 0.800 0.400 0.400
Co88 0.599 0.401 0.000
Co89 0.800 0.600 0.600
Co90 0.000 0.209 0.791
Co91 0.200 0.400 0.800
Co92 0.600 0.000 0.600
Co93 0.201 0.598 0.201
Co94 0.400 0.200 0.800
Co95 0.201 0.000 0.598
Co96 0.200 0.600 0.400
Co97 0.199 0.199 0.801
Co98 0.000 0.799 0.799
Co99 0.401 0.000 0.599
Co100 0.000 0.400 0.200
Co101 0.000 0.598 0.201
Co102 0.200 0.400 0.000
Co103 0.000 0.599 0.401
Co104 0.400 0.400 0.200
Co105 0.600 0.600 0.000
Co106 0.799 0.799 0.402
Co107 0.400 0.800 0.400
Co108 0.599 0.000 0.000
Co109 0.800 0.600 0.400
Co110 0.791 0.000 0.000
Co111 0.000 0.791 0.209
Co112 0.400 0.200 0.000
Co113 0.000 0.201 0.201
Co114 0.600 0.400 0.200
Co115 0.600 0.200 0.600
Co116 0.800 0.600 0.000
Co117 0.600 0.600 0.800
Co118 0.600 0.800 0.200
Co119 0.800 0.600 0.800
Co120 0.801 0.199 0.199
Co121 0.600 0.400 0.600
Co122 0.200 0.200 0.200
Co123 0.800 0.200 0.600
Co124 0.400 0.200 0.600
In1 0.000 0.000 0.000

***

(6)
This record from OQMD via LeMat-Bulk describes a relaxed Zr3Be crystal. The functional is PBE.

E_tot: -7.244 eV per atom
theoretical density: 5.9 g/cm3
relative energy among the computed polymorphs: 0.063 eV/atom

Cell lengths 5.355, 5.928, 4.976 Å; angles 90.00, 90.00, 90.00 degrees
Element x y z (fractional)
Zr1 0.033 0.500 0.000
Zr2 0.828 0.249 0.500
Zr3 0.505 0.749 0.000
Zr4 0.505 0.251 0.000
Zr5 0.301 0.000 0.500
Zr6 0.828 0.751 0.500
Be1 0.337 0.500 0.500
Be2 0.996 0.000 0.000

***

(7)
This record from OQMD via LeMat-Bulk describes a relaxed ZrTcNO crystal. The functional is PBE.

E_tot: -9.609 eV per atom
theoretical density: 7.3 g/cm3
relative energy among the computed polymorphs: 0.000 eV/atom

Cell lengths 5.008, 5.320, 7.445 Å; angles 90.00, 90.00, 89.99 degrees
Element x y z (fractional)
Zr1 0.351 0.968 0.658
Zr2 0.851 0.032 0.342
Zr3 0.851 0.532 0.658
Zr4 0.351 0.468 0.342
Tc1 0.045 0.391 0.021
Tc2 0.545 0.609 0.979
Tc3 0.045 0.891 0.979
Tc4 0.545 0.109 0.021
N1 0.709 0.894 0.819
N2 0.209 0.106 0.181
N3 0.709 0.394 0.181
N4 0.209 0.606 0.819
O1 0.597 0.245 0.528
O2 0.597 0.745 0.472
O3 0.097 0.255 0.528
O4 0.097 0.755 0.472

***

(8)
This record from OQMD via LeMat-Bulk describes a relaxed Er2Ag2SeS3 crystal. The functional is PBE.

E_tot: -5.128 eV per atom
theoretical density: 6.8 g/cm3

Cell lengths 6.565, 6.565, 4.122 Å; angles 90.72, 90.72, 88.72 degrees
Element x y z (fractional)
Se1 0.298 0.298 0.707
S1 0.200 0.800 0.273
S2 0.702 0.702 0.726
S3 0.800 0.200 0.273
Er1 0.509 0.509 0.211
Er2 0.994 0.994 0.783
Ag1 0.500 0.998 0.014
Ag2 0.998 0.500 0.014

***

(9)
This record from OQMD via LeMat-Bulk describes a relaxed PrNd2Nb2N6 crystal. The functional is PBE.

E_tot: -8.895 eV per atom
theoretical density: 7.1 g/cm3

Cell lengths 10.271, 10.271, 10.271 Å; angles 157.16, 157.16, 32.52 degrees
Element x y z (fractional)
Nd1 0.821 0.821 0.000
Nd2 0.179 0.179 0.000
N1 0.084 0.584 0.500
N2 0.916 0.416 0.500
N3 0.299 0.299 0.000
N4 0.701 0.701 0.000
N5 0.416 0.916 0.500
N6 0.584 0.084 0.500
Nb1 0.398 0.398 0.000
Nb2 0.602 0.602 0.000
Pr1 0.000 0.000 0.000

***

(10)
This record from OQMD via LeMat-Bulk describes a relaxed TbPr2Bi3 crystal. The functional is PBE.

E_tot: -5.334 eV per atom
theoretical density: 8.7 g/cm3

Cell lengths 4.570, 4.570, 11.234 Å; angles 90.00, 90.00, 120.00 degrees
Element x y z (fractional)
Bi1 0.000 0.000 0.000
Bi2 0.333 0.667 0.341
Bi3 0.667 0.333 0.659
Pr1 0.333 0.667 0.829
Pr2 0.667 0.333 0.171
Tb1 0.000 0.000 0.500

***

(11)
This record from OQMD via LeMat-Bulk describes a relaxed PuUOs crystal. The functional is PBE.

ΔE_f: 0.109 eV/atom
E_tot: -12.107 eV per atom
theoretical density: 19.1 g/cm3
relative energy among the computed polymorphs: 0.000 eV/atom

Cell lengths 4.357, 4.357, 4.357 Å; angles 60.00, 60.00, 60.00 degrees
Element x y z (fractional)
Pu1 0.000 0.000 0.000
U1 0.750 0.750 0.750
Os1 0.250 0.250 0.250

***

(12)
This record from OQMD via LeMat-Bulk describes a relaxed NaLaNiGe crystal. The functional is PBE.

E_tot: -4.195 eV per atom
theoretical density: 6.0 g/cm3
relative energy among the computed polymorphs: 0.146 eV/atom

Cell lengths 4.863, 4.863, 4.863 Å; angles 60.00, 60.00, 60.00 degrees
Element x y z (fractional)
La1 0.000 0.000 0.000
Na1 0.750 0.750 0.750
Ge1 0.250 0.250 0.250
Ni1 0.500 0.500 0.500

***

Q: Which of these has the lowest E_tot?
A: PuUOs

***

Q: Which of these has the highest theoretical density?
A: PuUOs

***

Q: Among the records above, which one has the lowest theoretical density?
A: HoErH2Cl4